Record 1
La2Tb5PmHo: relaxed, PBE-GGA.

Values from the calculation:
calculated formation energy = 254 meV/atom
total magnetization = 0.0 μB/f.u.

Cell: 8.6860 8.6860 10.0637 Å, 115.57 115.57 90.00°
Sites, in units of the cell vectors:
Tb  0.0000  0.0000  0.0000
Tb  0.8578  0.9253  0.2830
Tb  0.6422  0.1422  0.7170
Tb  0.5000  0.5000  0.0000
Tb  0.3578  0.8578  0.2830
Tb  0.4253  0.3578  0.2830
Tb  0.9253  0.4253  0.2830
Tb  0.1422  0.0747  0.7170
Tb  0.0747  0.5747  0.7170
Tb  0.5747  0.6422  0.7170
Pm  0.2500  0.2500  0.5000
Pm  0.7500  0.7500  0.5000
La  0.1181  0.3819  0.0000
La  0.6181  0.1181  0.0000
La  0.3819  0.8819  0.0000
La  0.8819  0.6181  0.0000
Ho  0.2500  0.7500  0.5000
Ho  0.7500  0.2500  0.5000


Record 2
Ac4Ge2TeBr: relaxed, PBE-GGA.

Values from the calculation:
uncorrected formation energy = -1116 meV/atom
total magnetization = 0.0 μB/f.u.

Cell: 6.5424 6.5424 7.9730 Å, 114.24 114.24 89.97°
Sites, in units of the cell vectors:
Te  0.9372  0.9372  0.0000
Ac  0.1875  0.1875  0.5009
Ac  0.4371  0.9373  0.0000
Ac  0.9373  0.4371  0.0000
Ac  0.6866  0.6866  0.4991
Br  0.4373  0.4373  0.0000
Ge  0.1871  0.6871  0.5000
Ge  0.6871  0.1871  0.5000


Record 3
BeCrPb3: relaxed, PBE-GGA.

Values from the calculation:
calculated formation energy = 883 meV/atom
total magnetization = 0.0 μB/f.u.
distance to the lowest polymorph of the same formula = 0.173 eV per atom

Cell: 5.1947 5.1947 5.1947 Å, 90.00 90.00 90.00°
Sites, in units of the cell vectors:
Pb  0.5000  0.0000  0.0000
Pb  0.0000  0.5000  0.0000
Pb  0.0000  0.0000  0.5000
Be  0.5000  0.5000  0.5000
Cr  0.0000  0.0000  0.0000


Record 4
Pu2Ga3Pt12Rh: relaxed, PBE-GGA.

Values from the calculation:
calculated formation energy = -207 meV/atom
total magnetization = 8.0 μB/f.u.

Cell: 7.7727 7.7727 7.7727 Å, 63.30 63.30 63.30°
Sites, in units of the cell vectors:
Pt  0.6128  0.1439  0.1439
Pt  0.3758  0.8854  0.3758
Pt  0.6242  0.6242  0.1146
Pt  0.3758  0.3758  0.8854
Pt  0.8561  0.8561  0.3872
Pt  0.8561  0.3872  0.8561
Pt  0.8854  0.3758  0.3758
Pt  0.6242  0.1146  0.6242
Pt  0.3872  0.8561  0.8561
Pt  0.1439  0.1439  0.6128
Pt  0.1146  0.6242  0.6242
Pt  0.1439  0.6128  0.1439
Rh  0.0000  0.0000  0.0000
Pu  0.6151  0.6151  0.6151
Pu  0.3849  0.3849  0.3849
Ga  0.0000  0.5000  0.0000
Ga  0.5000  0.0000  0.0000
Ga  0.0000  0.0000  0.5000


Record 5
Pu2MnGe6Os: relaxed, PBE-GGA.

Values from the calculation:
calculated formation energy = -165 meV/atom
total magnetization = 11.2 μB/f.u.

Cell: 6.0856 6.0856 12.5590 Å, 75.98 75.98 60.00°
Sites, in units of the cell vectors:
Mn  0.5000  0.5000  0.5000
Mn  0.0000  0.0000  0.0000
Pu  0.8867  0.8867  0.3399
Pu  0.1133  0.1133  0.6601
Pu  0.7048  0.7048  0.8857
Pu  0.2952  0.2952  0.1143
Ge  0.6603  0.6603  0.6085
Ge  0.2258  0.6621  0.8863
Ge  0.3397  0.9291  0.3915
Ge  0.3379  0.7742  0.1137
Ge  0.0709  0.6603  0.6085
Ge  0.6621  0.2258  0.8863
Ge  0.9291  0.3397  0.3915
Ge  0.7742  0.7742  0.1137
Ge  0.6603  0.0709  0.6085
Ge  0.2258  0.2258  0.8863
Ge  0.7742  0.3379  0.1137
Ge  0.3397  0.3397  0.3915
Os  0.4273  0.4273  0.7180
Os  0.5727  0.5727  0.2820


Record 6
AcPr3Nd6: relaxed, PBE-GGA.

Values from the calculation:
calculated formation energy = 266 meV/atom
total magnetization = 0.0 μB/f.u.
distance to the lowest polymorph of the same formula = 0.072 eV per atom

Cell: 10.2168 10.2168 7.1908 Å, 44.73 44.73 60.00°
Sites, in units of the cell vectors:
Nd  0.7270  0.0729  0.8002
Nd  0.5645  0.2351  0.3005
Nd  0.2351  0.8999  0.3005
Nd  0.0729  0.3999  0.8002
Nd  0.8999  0.5645  0.3005
Nd  0.3999  0.7270  0.8002
Pr  0.1592  0.1592  0.5223
Pr  0.4002  0.4002  0.7995
Pr  0.6411  0.6411  0.0766
Ac  0.9002  0.9002  0.2995


Record 7
BPW2: relaxed, PBE-GGA.

Values from the calculation:
calculated formation energy = 692 meV/atom
total magnetization = 0.0 μB/f.u.
distance to the lowest polymorph of the same formula = 0.459 eV per atom

Cell: 5.0127 5.0127 6.4109 Å, 66.99 66.99 90.00°
Sites, in units of the cell vectors:
P  0.7500  0.2500  0.5000
P  0.0000  0.0000  0.0000
B  0.5000  0.5000  0.0000
B  0.2500  0.7500  0.5000
W  0.3750  0.4257  0.7500
W  0.8750  0.8243  0.7500
W  0.5743  0.1250  0.2500
W  0.1757  0.6250  0.2500


Record 8
Mg3Sn3Ir2: relaxed, PBE-GGA.

Values from the calculation:
calculated formation energy = -283 meV/atom
total magnetization = 0.0 μB/f.u.

Cell: 5.4255 7.4481 16.7226 Å, 90.00 90.00 90.00°
Sites, in units of the cell vectors:
Sn  0.4111  0.6832  0.9640
Sn  0.1688  0.1742  0.2500
Sn  0.8312  0.8258  0.7500
Sn  0.9111  0.8168  0.4640
Sn  0.5889  0.3168  0.0360
Sn  0.0889  0.1832  0.5360
Sn  0.6688  0.3258  0.7500
Sn  0.5889  0.3168  0.4640
Sn  0.3312  0.6742  0.2500
Sn  0.4111  0.6832  0.5360
Sn  0.9111  0.8168  0.0360
Sn  0.0889  0.1832  0.9640
Mg  0.0804  0.4765  0.1214
Mg  0.6670  0.3416  0.2500
Mg  0.5804  0.0235  0.8786
Mg  0.4196  0.9765  0.3786
Mg  0.5804  0.0235  0.6214
Mg  0.4196  0.9765  0.1214
Mg  0.1670  0.1584  0.7500
Mg  0.9196  0.5235  0.6214
Mg  0.9196  0.5235  0.8786
Mg  0.0804  0.4765  0.3786
Mg  0.8330  0.8416  0.2500
Mg  0.3330  0.6584  0.7500
Ir  0.0844  0.8768  0.6162
Ir  0.0844  0.8768  0.8838
Ir  0.4156  0.3768  0.8838
Ir  0.4156  0.3768  0.6162
Ir  0.9156  0.1232  0.1162
Ir  0.5844  0.6232  0.3838
Ir  0.9156  0.1232  0.3838
Ir  0.5844  0.6232  0.1162


| no. | ρ (g cm⁻³) |
| --- | --- |
| 1 | 7.6 |
| 2 | 7.5 |
| 3 | 8.1 |
| 4 | 14.6 |
| 5 | 10.0 |
| 6 | 6.8 |
| 7 | 10.1 |
| 8 | 8.0 |